Record 1
The following is a GGA-PBE calculation of crystalline DyYTm2S4 at its relaxed geometry, from the Alexandria database.

```
data_DyYTm2S4
_chemical_formula_sum 'Dy1 Y1 Tm2 S4'
_cell_length_a 3.841
_cell_length_b 6.757
_cell_length_c 6.717
_cell_angle_alpha 70.97
_cell_angle_beta 90.00
_cell_angle_gamma 90.00
_space_group_name_H-M_alt 'P 1'
_space_group_IT_number 1
loop_
_space_group_symop_operation_xyz
'x,y,z'
loop_
_atom_site_label
_atom_site_type_symbol
_atom_site_fract_x
_atom_site_fract_y
_atom_site_fract_z
S1 S 0.000 0.757 0.747
S2 S 0.000 0.243 0.253
S3 S 0.500 0.757 0.248
S4 S 0.500 0.243 0.752
Dy1 Dy 0.000 0.500 0.500
Tm1 Tm 0.000 0.000 0.000
Tm2 Tm 0.500 0.000 0.500
Y1 Y 0.500 0.500 0.000
```

- Calculated total energy: -6.526 eV per atom
- E_form (uncorrected): -189.2 kJ/mol of atoms

Record 2
The following is a GGA-PBE calculation of crystalline Dy3Y4TmS8 at its relaxed geometry, from the Alexandria database.

```
data_Dy3Y4TmS8
_chemical_formula_sum 'Dy3 Y4 Tm1 S8'
_cell_length_a 7.809
_cell_length_b 7.811
_cell_length_c 7.808
_cell_angle_alpha 119.99
_cell_angle_beta 120.00
_cell_angle_gamma 90.00
_space_group_name_H-M_alt 'P 1'
_space_group_IT_number 1
loop_
_space_group_symop_operation_xyz
'x,y,z'
loop_
_atom_site_label
_atom_site_type_symbol
_atom_site_fract_x
_atom_site_fract_y
_atom_site_fract_z
S1 S 0.250 0.251 0.501
S2 S 0.247 0.746 0.999
S3 S 0.752 0.746 0.999
S4 S 0.248 0.254 0.001
S5 S 0.247 0.746 0.494
S6 S 0.753 0.254 0.001
S7 S 0.753 0.254 0.506
S8 S 0.750 0.749 0.499
Y1 Y 0.500 0.000 0.500
Y2 Y 0.500 0.000 0.000
Y3 Y 0.000 0.000 0.500
Y4 Y 0.000 0.000 0.000
Tm1 Tm 0.000 0.500 0.000
Dy1 Dy 0.000 0.500 0.500
Dy2 Dy 0.500 0.500 0.000
Dy3 Dy 0.500 0.500 0.500
```

- Calculated total energy: -6.804 eV per atom
- E_form (uncorrected): -191.3 kJ/mol of atoms

Record 3
The following is a GGA-PBE calculation of crystalline Dy3YTm2S6 at its relaxed geometry, from the Alexandria database.

```
data_Dy3YTm2S6
_chemical_formula_sum 'Dy3 Y1 Tm2 S6'
_cell_length_a 6.733
_cell_length_b 6.733
_cell_length_c 6.735
_cell_angle_alpha 99.55
_cell_angle_beta 99.55
_cell_angle_gamma 120.22
_space_group_name_H-M_alt 'P 1'
_space_group_IT_number 1
loop_
_space_group_symop_operation_xyz
'x,y,z'
loop_
_atom_site_label
_atom_site_type_symbol
_atom_site_fract_x
_atom_site_fract_y
_atom_site_fract_z
S1 S 0.744 0.744 0.245
S2 S 0.256 0.256 0.755
S3 S 0.420 0.082 0.247
S4 S 0.918 0.580 0.753
S5 S 0.580 0.918 0.753
S6 S 0.082 0.420 0.247
Tm1 Tm 0.334 0.666 0.000
Tm2 Tm 0.666 0.334 0.000
Dy1 Dy 0.500 0.500 0.500
Dy2 Dy 0.164 0.836 0.500
Dy3 Dy 0.836 0.164 0.500
Y1 Y 0.000 0.000 0.000
```

- Calculated total energy: -6.474 eV per atom
- E_form (uncorrected): -190.7 kJ/mol of atoms

Record 4
The following is a GGA-PBE calculation of crystalline DyY4Tm3S8 at its relaxed geometry, from the Alexandria database.

```
data_DyY4Tm3S8
_chemical_formula_sum 'Dy1 Y4 Tm3 S8'
_cell_length_a 7.774
_cell_length_b 7.785
_cell_length_c 7.774
_cell_angle_alpha 119.96
_cell_angle_beta 120.00
_cell_angle_gamma 90.00
_space_group_name_H-M_alt 'P 1'
_space_group_IT_number 1
loop_
_space_group_symop_operation_xyz
'x,y,z'
loop_
_atom_site_label
_atom_site_type_symbol
_atom_site_fract_x
_atom_site_fract_y
_atom_site_fract_z
Y1 Y 0.500 0.000 0.000
Y2 Y 0.000 0.000 0.500
Y3 Y 0.500 0.000 0.500
Y4 Y 0.000 0.000 0.000
Tm1 Tm 0.500 0.500 0.500
Tm2 Tm 0.500 0.500 0.000
Tm3 Tm 0.000 0.500 0.500
S1 S 0.253 0.258 0.505
S2 S 0.745 0.744 0.995
S3 S 0.255 0.256 0.005
S4 S 0.250 0.744 0.499
S5 S 0.250 0.744 0.995
S6 S 0.750 0.256 0.005
S7 S 0.750 0.256 0.501
S8 S 0.747 0.742 0.495
Dy1 Dy 0.000 0.500 0.000
```

- Calculated total energy: -6.773 eV per atom
- E_form (uncorrected): -189.8 kJ/mol of atoms

Record 5
The following is a GGA-PBE calculation of crystalline DyY4TmS8 at its relaxed geometry, from the Alexandria database.

```
data_DyY4TmS8
_chemical_formula_sum 'Dy1 Y4 Tm1 S8'
_cell_length_a 8.040
_cell_length_b 8.040
_cell_length_c 8.040
_cell_angle_alpha 60.00
_cell_angle_beta 60.00
_cell_angle_gamma 60.00
_space_group_name_H-M_alt 'P 1'
_space_group_IT_number 1
loop_
_space_group_symop_operation_xyz
'x,y,z'
loop_
_atom_site_label
_atom_site_type_symbol
_atom_site_fract_x
_atom_site_fract_y
_atom_site_fract_z
S1 S 0.768 0.244 0.745
S2 S 0.758 0.758 0.257
S3 S 0.758 0.758 0.727
S4 S 0.226 0.758 0.257
S5 S 0.244 0.244 0.745
S6 S 0.758 0.226 0.257
S7 S 0.244 0.244 0.268
S8 S 0.244 0.768 0.745
Y1 Y 0.000 0.499 0.500
Y2 Y 0.499 0.000 0.500
Y3 Y 0.625 0.625 0.125
Y4 Y 0.000 0.000 0.500
Dy1 Dy 0.000 0.000 0.999
Tm1 Tm 0.375 0.375 0.875
```

- Calculated total energy: -6.792 eV per atom
- E_form (uncorrected): -187.0 kJ/mol of atoms

Record 6
The following is a GGA-PBE calculation of crystalline DyY3Tm3S8 at its relaxed geometry, from the Alexandria database.

```
data_DyY3Tm3S8
_chemical_formula_sum 'Dy1 Y3 Tm3 S8'
_cell_length_a 7.740
_cell_length_b 7.740
_cell_length_c 7.757
_cell_angle_alpha 119.93
_cell_angle_beta 90.00
_cell_angle_gamma 120.00
_space_group_name_H-M_alt 'P 1'
_space_group_IT_number 1
loop_
_space_group_symop_operation_xyz
'x,y,z'
loop_
_atom_site_label
_atom_site_type_symbol
_atom_site_fract_x
_atom_site_fract_y
_atom_site_fract_z
S1 S 0.252 0.504 0.747
S2 S 0.748 0.496 0.743
S3 S 0.748 0.496 0.253
S4 S 0.252 0.504 0.257
S5 S 0.743 0.995 0.747
S6 S 0.257 0.005 0.253
S7 S 0.748 0.005 0.253
S8 S 0.252 0.995 0.747
Y1 Y 0.000 0.000 0.000
Y2 Y 0.500 0.500 0.000
Y3 Y 0.000 0.500 0.000
Tm1 Tm 0.500 0.000 0.500
Tm2 Tm 0.000 0.500 0.500
Tm3 Tm 0.500 0.500 0.500
Dy1 Dy 0.000 0.000 0.500
```

- Calculated total energy: -6.730 eV per atom
- E_form (uncorrected): -196.3 kJ/mol of atoms

Record 7
The following is a GGA-PBE calculation of crystalline DyY2TmS4 at its relaxed geometry, from the Alexandria database.

```
data_DyY2TmS4
_chemical_formula_sum 'Dy1 Y2 Tm1 S4'
_cell_length_a 3.864
_cell_length_b 6.774
_cell_length_c 6.762
_cell_angle_alpha 70.91
_cell_angle_beta 90.00
_cell_angle_gamma 90.00
_space_group_name_H-M_alt 'P 1'
_space_group_IT_number 1
loop_
_space_group_symop_operation_xyz
'x,y,z'
loop_
_atom_site_label
_atom_site_type_symbol
_atom_site_fract_x
_atom_site_fract_y
_atom_site_fract_z
Tm1 Tm 0.000 0.500 0.500
S1 S 0.000 0.747 0.748
S2 S 0.500 0.744 0.255
S3 S 0.000 0.253 0.252
S4 S 0.500 0.256 0.745
Dy1 Dy 0.500 0.500 0.000
Y1 Y 0.500 0.000 0.500
Y2 Y 0.000 0.000 0.000
```

- Calculated total energy: -6.791 eV per atom
- E_form (uncorrected): -190.7 kJ/mol of atoms

Record 8
The following is a GGA-PBE calculation of crystalline DyY3Tm2S6 at its relaxed geometry, from the Alexandria database.

```
data_DyY3Tm2S6
_chemical_formula_sum 'Dy1 Y3 Tm2 S6'
_cell_length_a 6.740
_cell_length_b 6.740
_cell_length_c 6.746
_cell_angle_alpha 99.55
_cell_angle_beta 99.55
_cell_angle_gamma 120.21
_space_group_name_H-M_alt 'P 1'
_space_group_IT_number 1
loop_
_space_group_symop_operation_xyz
'x,y,z'
loop_
_atom_site_label
_atom_site_type_symbol
_atom_site_fract_x
_atom_site_fract_y
_atom_site_fract_z
Y1 Y 0.165 0.835 0.500
Y2 Y 0.500 0.500 0.500
Y3 Y 0.835 0.165 0.500
Tm1 Tm 0.666 0.334 0.000
Tm2 Tm 0.334 0.666 0.000
S1 S 0.918 0.581 0.755
S2 S 0.256 0.256 0.756
S3 S 0.744 0.744 0.244
S4 S 0.082 0.419 0.245
S5 S 0.581 0.918 0.755
S6 S 0.419 0.082 0.245
Dy1 Dy 0.000 0.000 0.000
```

- Calculated total energy: -6.786 eV per atom
- E_form (uncorrected): -190.8 kJ/mol of atoms

no.,mass density (Mg/m³)
1,7.23
2,6.25
3,7.39
4,6.39
5,4.26
6,6.02
7,6.33
8,6.38